Entry 1:
An optimized crystal structure of TaZn. Source: the Alexandria database, functional GGA-PBE.

a = 7.4957 Å, b = 7.4957 Å, c = 4.4506 Å
α = 90.00°, β = 90.00°, γ = 120.00°
Space group P6_3/m (No. 176)
Inequivalent atoms, fractional coordinates:
Ta1 0.1009 0.6276 0.2500 [6 per cell]
Zn1 0.0502 0.8133 0.7500 [6 per cell]

Calculated values
The calculation puts the formation energy at 0.463 eV/atom.

=====

Entry 2:
An optimized crystal structure of TaZn. Source: the Alexandria database, functional GGA-PBE.

a = 2.671 Å, b = 4.906 Å, c = 5.175 Å
α = 90.00°, β = 90.00°, γ = 90.00°
Space group Pmmn (No. 59, origin choice 2)
Inequivalent atoms, fractional coordinates:
Ta1 0.250 0.250 0.093 [2 per cell]
Zn1 0.250 0.750 0.409 [2 per cell]

Calculated values
The calculation puts the formation energy at 0.179 eV/atom.

=====

Entry 3:
An optimized crystal structure of Ta2Zn. Source: the Alexandria database, functional GGA-PBE.

a = 6.085 Å, b = 6.085 Å, c = 6.085 Å
α = 90.00°, β = 90.00°, γ = 90.00°
Space group Fm-3m (No. 225)
Inequivalent atoms, fractional coordinates:
Ta1 0.250 0.250 0.250 [8 per cell]
Zn1 0.000 0.000 0.000 [4 per cell]

Calculated values
The calculation puts the formation energy at 0.644 eV/atom.

=====

Entry 4:
An optimized crystal structure of Ta2Zn. Source: the Alexandria database, functional GGA-PBE.

a = 4.106 Å, b = 4.106 Å, c = 3.386 Å
α = 90.00°, β = 90.00°, γ = 90.00°
Space group P4/mmm (No. 123)
Inequivalent atoms, fractional coordinates:
Ta1 0.000 0.500 0.000 [2 per cell]
Zn1 0.000 0.000 0.500 [1 per cell]

Calculated values
The calculation puts the formation energy at 0.700 eV/atom.

=====

Entry 5:
An optimized crystal structure of TaZn. Source: the Alexandria database, functional GGA-PBE.

a = 9.528 Å, b = 9.528 Å, c = 2.967 Å
α = 90.00°, β = 90.00°, γ = 90.00°
Space group I4/mmm (No. 139)
Inequivalent atoms, fractional coordinates:
Ta1 0.158 0.158 0.000 [8 per cell]
Zn1 0.000 0.343 0.500 [8 per cell]

Calculated values
The calculation puts the formation energy at 0.234 eV/atom.

=====

Entry 6:
An optimized crystal structure of Ta5Zn. Source: the Alexandria database, functional GGA-PBE.

a = 2.794 Å, b = 2.794 Å, c = 13.745 Å
α = 90.00°, β = 90.00°, γ = 90.00°
Space group P4/mmm (No. 123)
Inequivalent atoms, fractional coordinates:
Ta1 0.000 0.000 0.000 [1 per cell]
Ta2 0.000 0.000 0.346 [2 per cell]
Ta3 0.500 0.500 0.175 [2 per cell]
Zn1 0.500 0.500 0.500 [1 per cell]

Calculated values
The excess energy over the best structure of this formula in the dataset is 107.2 meV per atom. The calculation puts the formation energy at 0.122 eV/atom.

=====

Entry 7:
An optimized crystal structure of TaZn3. Source: the Alexandria database, functional GGA-PBE.

a = 2.843 Å, b = 4.358 Å, c = 5.116 Å
α = 90.00°, β = 90.00°, γ = 90.00°
Space group Pmm2 (No. 25)
Inequivalent atoms, fractional coordinates:
Ta1 0.000 0.000 0.000 [1 per cell]
Zn1 0.000 0.500 0.324 [1 per cell]
Zn2 0.500 0.000 0.495 [1 per cell]
Zn3 0.500 0.500 0.813 [1 per cell]

Calculated values
The calculation puts the formation energy at 0.133 eV/atom.

=====

Entry 8:
An optimized crystal structure of Ta2Zn. Source: the Alexandria database, functional GGA-PBE.

a = 4.6253 Å, b = 4.6253 Å, c = 5.4536 Å
α = 90.00°, β = 90.00°, γ = 120.00°
Space group P6_3/mmc (No. 194)
Inequivalent atoms, fractional coordinates:
Ta1 0.0000 0.0000 0.0000 [2 per cell]
Ta2 0.3333 0.6667 0.2500 [2 per cell]
Zn1 0.3333 0.6667 0.7500 [2 per cell]

Calculated values
The calculation puts the formation energy at 0.049 eV/atom.